(1)
A relaxed structure of TaTiRh3, computed with PBE.

a b c (Å): 5.5858 13.1796 5.1165
angles (deg): 90.00 122.03 90.00
Space group C2/c (No. 15)
Asymmetric unit:
Ta  0.0000  0.0735  0.2500 (multiplicity 4)
Ti  0.0000  0.2516  0.7500 (multiplicity 4)
Rh  0.1808  0.4167  0.1248 (multiplicity 8)
Rh  0.2500  0.2500  0.5000 (multiplicity 4)

E_form in meV/atom: -333
E in eV for the cell shown: -173.87
Polymorph energy (0 for the lowest one) in eV per formula unit: 0.303
ρ in Mg/m³: 11.181



(2)
A relaxed structure of TaTi2Rh3, computed with PBE.

a b c (Å): 2.9216 2.9216 10.7370
angles (deg): 90.00 90.00 90.00
Space group P4/mmm (No. 123)
Asymmetric unit:
Ta  0.0000  0.0000  0.0000 (multiplicity 1)
Ti  0.0000  0.0000  0.3381 (multiplicity 2)
Rh  0.5000  0.5000  0.1828 (multiplicity 2)
Rh  0.5000  0.5000  0.5000 (multiplicity 1)

E_form in meV/atom: -651
E in eV for the cell shown: -53.60
Polymorph energy (0 for the lowest one) in eV per formula unit: 0.000
ρ in Mg/m³: 10.607



(3)
A relaxed structure of Ta4TiRh7, computed with PBE.

a b c (Å): 10.6793 4.5867 9.4620
angles (deg): 90.00 119.43 90.00
Space group C2/m (No. 12)
Asymmetric unit:
Ta  0.0886  0.0000  0.2731 (multiplicity 4)
Ta  0.2394  0.0000  0.8289 (multiplicity 4)
Ti  0.0000  0.5000  0.5000 (multiplicity 2)
Rh  0.0000  0.0000  0.5000 (multiplicity 2)
Rh  0.0706  0.5000  0.8315 (multiplicity 4)
Rh  0.1390  0.0000  0.0393 (multiplicity 4)
Rh  0.2147  0.5000  0.4070 (multiplicity 4)

E_form in meV/atom: -284
E in eV for the cell shown: -220.35
ρ in Mg/m³: 12.275



(4)
A relaxed structure of TaTi3Rh4, computed with PBE.

a b c (Å): 8.9769 5.8076 4.6966
angles (deg): 90.00 90.00 90.00
Space group Pmma (No. 51)
Asymmetric unit:
Ta  0.0000  0.0000  0.0000 (multiplicity 2)
Ti  0.0000  0.5000  0.0000 (multiplicity 2)
Ti  0.2500  0.0000  0.4322 (multiplicity 2)
Ti  0.2500  0.5000  0.4263 (multiplicity 2)
Rh  0.0000  0.2514  0.5000 (multiplicity 4)
Rh  0.2500  0.2523  0.9092 (multiplicity 4)

E_form in meV/atom: -665
E in eV for the cell shown: -140.52
ρ in Mg/m³: 9.985